[1]
Here is an optimized crystal structure of SiIr3W from the Alexandria database. Energies are from PBE-GGA.

a b c (Å): 4.7587 4.7587 4.7587
angles (deg): 90.00 90.00 90.00
Closest atoms and distances in Å follow each position.
Positions (direct):
Si  0.5000  0.5000  0.5000  12 Ir 3.36
Ir  0.0000  0.5000  0.0000  2 W 2.38
Ir  0.0000  0.0000  0.5000  2 W 2.38
Ir  0.5000  0.0000  0.0000  2 W 2.38
W  0.0000  0.0000  0.0000  6 Ir 2.38

Summary:
Offset from the most stable computed form in eV/f.u.: 3.841
Energy in eV/atom: -7.216
Symmetry: Pm-3m (221)
Uncorrected formation energy in eV per atom: 1.775
Magnetic moment in Bohr magnetons per cell: 0.0

---

[2]
Here is an optimized crystal structure of SiIr2W from the Alexandria database. Energies are from PBE-GGA.

a b c (Å): 8.5676 8.5676 8.5676
angles (deg): 18.91 18.91 18.91
Closest atoms and distances in Å follow each position.
Positions (direct):
Ir  0.9936  0.9936  0.9936  3 Si 2.53, 3 W 2.79, 6 Ir 2.81
Ir  0.5064  0.5064  0.5064  3 Si 2.53, 3 W 2.79, 6 Ir 2.81
Si  0.2500  0.2500  0.2500  6 Ir 2.53, 6 Si 2.81
W  0.7500  0.7500  0.7500  6 Ir 2.79, 6 W 2.81

Summary:
Energy in eV/atom: -9.283
Symmetry: R-3m (166)
Uncorrected formation energy in eV per atom: -0.258
Magnetic moment in Bohr magnetons per cell: 0.0